No. 1
DFT (PBE) results for a relaxed CeTm2In9 crystal.

Lattice parameters (Å, degrees): 4.6490 4.6490 13.9337 90.00 90.00 90.00
Closest atoms and distances in Å follow each position.
Space group P4/mmm (No. 123)
One atom of each set of equivalent atoms:
Ce 0.0000 0.0000 0.0000  12 In 3.29-3.32
Tm 0.0000 0.0000 0.3362  12 In 3.26-3.29
In 0.0000 0.5000 0.1704  8 In 3.25-3.32, 2 Tm 3.28, 2 Ce 3.32
In 0.0000 0.5000 0.5000  4 Tm 3.26, 8 In 3.28-3.29
In 0.5000 0.5000 0.0000  4 Ce 3.29, 8 In 3.32
In 0.5000 0.5000 0.3338  8 In 3.25-3.28, 4 Tm 3.29

Output
E	-44.1	eV for the cell shown
total magnetic moment	0.06	μB per atom
ΔH_f (0 K)	-0.38	eV per atom
Fermi-level density of states	0.744	states/eV per atom

No. 2
DFT (PBE) results for a relaxed Ac4BPCl2 crystal.

Lattice parameters (Å, degrees): 7.5544 4.3332 7.7948 90.00 108.75 90.00
Closest atoms and distances in Å follow each position.
Space group P2/m (No. 10)
One atom of each set of equivalent atoms:
Ac 0.2208 0.0000 0.2082  2 B 2.89, 1 P 3.05, 1 Cl 3.22
Ac 0.2472 0.5000 0.7847  1 B 2.88, 2 P 3.02
B 0.0000 0.5000 0.0000  6 Ac 2.88-2.89
P 0.5000 0.0000 0.0000  6 Ac 3.02-3.05
Cl 0.0000 0.0000 0.5000  6 Ac 3.22-3.23
Cl 0.5000 0.5000 0.5000  6 Ac 3.35-3.36

Output
E	-41.6	eV for the cell shown
total magnetic moment	0.00	μB per atom
Fermi-level density of states	0.489	states/eV per atom

No. 3
DFT (PBE) results for a relaxed KBI4 crystal.

Lattice parameters (Å, degrees): 7.5658 13.2536 12.9597 90.00 125.69 90.00
Closest atoms and distances in Å follow each position.
Space group P2_1/c (No. 14)
One atom of each set of equivalent atoms:
K 0.2029 0.1726 0.2508  8 I 3.69-3.82, 1 B 3.90
B 0.3455 0.6852 0.7483  4 I 2.26-2.27
I 0.0842 0.6026 0.7479  1 B 2.26
I 0.2988 0.6456 0.2479  1 B 2.27
I 0.3201 0.1444 0.5775  1 B 2.26
I 0.3339 0.6441 0.5749  1 B 2.26

Output
E	-68.5	eV for the cell shown
total magnetic moment	0.00	μB per atom
Fermi-level density of states	0.000	states/eV per atom

No. 4
DFT (PBE) results for a relaxed KNi2Ag crystal.

Lattice parameters (Å, degrees): 4.1767 4.1767 8.2425 90.00 90.00 90.00
Closest atoms and distances in Å follow each position.
Space group I4/mmm (No. 139)
One atom of each set of equivalent atoms:
K 0.0000 0.0000 0.0000  8 Ni 2.93, 4 Ag 2.95
Ni 0.0000 0.5000 0.2500  4 K 2.93, 4 Ag 2.93, 4 Ni 2.95
Ag 0.0000 0.0000 0.5000  8 Ni 2.93, 4 K 2.95

Output
E	-23.9	eV for the cell shown
total magnetic moment	0.19	μB per atom
ΔH_f (0 K)	0.89	eV per atom
Fermi-level density of states	2.211	states/eV per atom

No. 5
DFT (PBE) results for a relaxed Gd2SbC crystal.

Lattice parameters (Å, degrees): 3.7034 3.7034 23.0757 90.00 90.00 120.00
Closest atoms and distances in Å follow each position.
Space group R-3m (No. 166, hexagonal axes)
One atom of each set of equivalent atoms:
Gd 0.0000 0.0000 0.2256  3 C 2.53
Sb 0.0000 0.0000 0.0000  6 Gd 3.28
C 0.0000 0.0000 0.5000  6 Gd 2.53

Output
E	-131.7	eV for the cell shown
total magnetic moment	3.53	μB per atom
Fermi-level density of states	0.283	states/eV per atom

No. 6
DFT (PBE) results for a relaxed PrU5Se6 crystal.

Lattice parameters (Å, degrees): 6.9237 12.3365 7.2496 90.00 109.79 90.00
Closest atoms and distances in Å follow each position.
Space group C2/m (No. 12)
One atom of each set of equivalent atoms:
Pr 0.0000 0.0000 0.0000  6 Se 2.95-2.97
U 0.0000 0.1605 0.5000  6 Se 2.87-2.90
U 0.0000 0.3306 0.0000  6 Se 2.88-2.90
U 0.0000 0.5000 0.5000  6 Se 2.85-2.89
Se 0.2383 0.5000 0.2468  5 U 2.85-2.88, 1 Pr 2.95
Se 0.2421 0.3295 0.7429  5 U 2.87-2.90, 1 Pr 2.97

Output
E	-191.1	eV for the cell shown
total magnetic moment	1.16	μB per atom
Fermi-level density of states	2.391	states/eV per atom

No. 7
DFT (PBE) results for a relaxed Na8As2H crystal.

Lattice parameters (Å, degrees): 17.2650 5.0405 6.6262 90.00 104.49 90.00
Closest atoms and distances in Å follow each position.
Space group C2/m (No. 12)
One atom of each set of equivalent atoms:
Na 0.0238 0.0000 0.2740  2 As 3.00-3.25, 2 H 3.07, 3 Na 3.18-3.30
Na 0.0923 0.5000 0.8198  1 H 2.22
Na 0.1748 0.5000 0.4176  3 As 3.07-3.09, 4 Na 3.12-3.37
Na 0.2186 0.0000 0.1261  1 As 2.97, 2 Na 3.12-3.19
As 0.1570 0.0000 0.6653  8 Na 2.97-3.25
H 0.0000 0.5000 0.0000  2 Na 2.22

Output
E	-51.6	eV for the cell shown
total magnetic moment	0.00	μB per atom
Fermi-level density of states	0.244	states/eV per atom

No. 8
DFT (PBE) results for a relaxed Na2TlRh crystal.

Lattice parameters (Å, degrees): 3.0895 3.0895 33.6281 90.00 90.00 120.00
Closest atoms and distances in Å follow each position.
Space group R-3m (No. 166, hexagonal axes)
One atom of each set of equivalent atoms:
Na 0.0000 0.0000 0.0800  1 Rh 2.69
Tl 0.0000 0.0000 0.5000  6 Tl 3.09, 6 Na 3.42
Rh 0.0000 0.0000 0.0000  2 Na 2.69

Output
E	-31.7	eV for the cell shown
total magnetic moment	0.17	μB per atom
ΔH_f (0 K)	0.45	eV per atom
Fermi-level density of states	0.788	states/eV per atom